BaHf2Cr2O7 | PBE with a Hubbard U | relaxed

```
BaHf2Cr2O7
1.0
-3.065 -2.650 -1.092
-0.227 -1.369 3.960
-4.601 8.463 0.438
Hf Ba Cr O
2 1 2 7
Cartesian
-4.850 5.010 1.453
-3.044 -0.566 1.853
0.000 0.000 0.000
-4.656 1.902 0.389
-3.238 2.543 2.916
-3.335 3.446 0.999
-1.531 0.780 2.405
-6.362 3.664 0.902
-4.558 0.999 2.306
-1.646 -2.009 1.434
-4.943 4.305 3.427
-2.950 0.139 -0.121
```

Computed properties:
As for the space-group type: I4/mmm, No. 139.

Ba3Hf2CrO9 | PBE with a Hubbard U | relaxed

```
Ba3Hf2CrO9
1.0
-1.450 -2.555 -5.034
4.235 -2.264 3.304
-4.824 -4.019 3.429
O Cr Ba Hf
9 1 3 2
Cartesian
1.683 -3.674 3.124
-1.533 -6.334 0.282
2.118 -1.132 1.652
-3.722 -5.164 -1.425
-2.973 -3.843 1.176
-0.506 -2.504 1.417
1.392 -2.410 -0.865
0.934 -4.995 0.522
-0.725 -1.278 -2.517
-2.412 -2.009 1.715
-0.859 -5.026 2.798
0.000 0.000 0.000
-1.180 -3.812 -1.100
-3.547 -5.784 0.583
1.508 -3.055 1.116
```

Computed properties:
As for the space-group type: P-3m1, No. 164.

no.,volume (Å³/cell),final energy (eV per atom)
1,162,-8.703
2,211,-8.130